Entry i
Entry from Alexandria: a relaxed structure of Ac2BeAu (PBE).

Results
Symmetry: P4/mmm (123)

abc: 3.843 3.843 7.711
angles: 90.00 90.00 90.00
Fractional positions:
Ac (0.000, 0.000, 0.759)
Au (0.500, 0.500, 0.500)
Be (0.500, 0.500, 0.000)
Ac (0.000, 0.000, 0.241)

=====

Entry ii
Entry from Alexandria: a relaxed structure of Ac2BeAu (PBE).

Results
Symmetry: Fm-3m (225)

abc: 5.463 5.463 5.463
angles: 60.00 60.00 60.00
Fractional positions:
Ac (0.750, 0.750, 0.750)
Be (0.000, 0.000, 0.000)
Au (0.500, 0.500, 0.500)
Ac (0.250, 0.250, 0.250)

=====

The most stable of them is entry i.

=====

Entry i
Entry from Alexandria: a relaxed structure of AcBiAu (PBE).

Results
Symmetry: P3m1 (156)

abc: 4.821 4.821 4.702
angles: 90.00 90.00 120.00
Fractional positions:
Ac (0.000, 0.000, 0.037)
Au (0.667, 0.333, 0.391)
Bi (0.333, 0.667, 0.572)

=====

Entry ii
Entry from Alexandria: a relaxed structure of AcBiAu (PBE).

Results
Symmetry: I4mm (107)

abc: 3.924 3.924 6.582
angles: 107.34 107.34 90.00
Fractional positions:
Ac (0.978, 0.978, 0.955)
Au (0.338, 0.338, 0.675)
Bi (0.685, 0.685, 0.370)

=====

The most stable of them is entry i.

=====

Entry i
Entry from Alexandria: a relaxed structure of AcBi2Au (PBE).

Results
Symmetry: Cmcm (63)

abc: 4.558 10.051 11.362
angles: 90.00 90.00 103.11
Fractional positions:
Au (0.880, 0.760, 0.522)
Ac (0.307, 0.614, 0.750)
Au (0.120, 0.240, 0.478)
Bi (0.947, 0.893, 0.750)
Bi (0.053, 0.107, 0.250)
Ac (0.500, 0.000, 0.500)
Ac (0.500, 0.000, 0.000)
Bi (0.295, 0.590, 0.076)
Bi (0.113, 0.226, 0.750)
Ac (0.693, 0.386, 0.250)
Au (0.880, 0.760, 0.978)
Bi (0.887, 0.774, 0.250)
Au (0.120, 0.240, 0.022)
Bi (0.705, 0.410, 0.576)
Bi (0.705, 0.410, 0.924)
Bi (0.295, 0.590, 0.424)

=====

Entry ii
Entry from Alexandria: a relaxed structure of AcBi2Au (PBE).

Results
Symmetry: P4/mmm (123)

abc: 4.840 4.973 4.973
angles: 90.00 90.00 90.00
Fractional positions:
Ac (0.500, 0.500, 0.500)
Au (0.500, 0.000, 0.000)
Bi (0.000, 0.500, 0.000)
Bi (0.000, 0.000, 0.500)

=====

Entry iii
Entry from Alexandria: a relaxed structure of AcBi2Au (PBE).

Results
Symmetry: R-3m (166)

abc: 5.132 5.132 6.302
angles: 65.97 65.97 60.00
Fractional positions:
Au (0.000, 0.000, 0.000)
Bi (0.718, 0.718, 0.847)
Ac (0.500, 0.500, 0.500)
Bi (0.282, 0.282, 0.153)

=====

The most stable of them is entry i.

=====

Entry i
Entry from Alexandria: a relaxed structure of AcBi2Au (PBE).

Results
Symmetry: I4/mmm (139)

abc: 4.961 4.961 10.396
angles: 103.80 103.80 90.00
Fractional positions:
Ac (0.133, 0.133, 0.266)
Bi (0.656, 0.656, 0.312)
Ac (0.867, 0.867, 0.734)
Bi (0.500, 0.000, 0.000)
Au (0.750, 0.250, 0.500)
Au (0.250, 0.750, 0.500)
Bi (0.000, 0.500, 0.000)
Bi (0.344, 0.344, 0.688)

=====

Entry ii
Entry from Alexandria: a relaxed structure of AcBi2Au (PBE).

Results
Symmetry: P4/mmm (123)

abc: 4.521 4.521 6.394
angles: 90.00 90.00 90.00
Fractional positions:
Ac (0.500, 0.500, 0.500)
Bi (0.000, 0.000, 0.249)
Bi (0.000, 0.000, 0.751)
Au (0.500, 0.500, 0.000)

=====

The most stable of them is entry i.

=====

Entry i
Entry from Alexandria: a relaxed structure of Ac2BiAu3 (PBE).

Results
Symmetry: Imm2 (44)

abc: 4.483 4.408 9.555
angles: 103.34 103.57 90.00
Fractional positions:
Au (0.554, 0.554, 0.108)
Au (0.292, 0.792, 0.585)
Bi (0.456, 0.956, 0.911)
Au (0.705, 0.705, 0.410)
Ac (0.862, 0.362, 0.724)
Ac (0.131, 0.131, 0.261)

=====

Entry ii
Entry from Alexandria: a relaxed structure of Ac2BiAu3 (PBE).

Results
Symmetry: Fmmm (69)

abc: 6.413 6.413 9.411
angles: 105.61 105.61 102.13
Fractional positions:
Ac (0.250, 0.750, 0.500)
Au (0.327, 0.837, 0.164)
Au (0.838, 0.838, 0.675)
Au (0.673, 0.163, 0.836)
Au (0.162, 0.162, 0.325)
Ac (0.236, 0.236, 0.000)
Au (0.163, 0.673, 0.836)
Au (0.837, 0.327, 0.164)
Bi (0.335, 0.335, 0.669)
Ac (0.750, 0.250, 0.500)
Bi (0.665, 0.665, 0.331)
Ac (0.764, 0.764, 0.000)

=====

The most stable of them is entry ii.

=====

Entry i
Entry from Alexandria: a relaxed structure of CaAc2Au4 (PBE).

Results
Symmetry: R-3m (166)

abc: 5.275 5.275 9.229
angles: 73.39 73.39 60.00
Fractional positions:
Au (0.882, 0.882, 0.355)
Ac (0.758, 0.758, 0.725)
Ca (0.000, 0.000, 0.000)
Ac (0.242, 0.242, 0.275)
Au (0.118, 0.118, 0.645)
Au (0.635, 0.635, 0.094)
Au (0.365, 0.365, 0.906)

=====

Entry ii
Entry from Alexandria: a relaxed structure of CaAc2Au4 (PBE).

Results
Symmetry: I4/mmm (139)

abc: 5.306 5.306 8.839
angles: 107.47 107.47 90.00
Fractional positions:
Au (0.821, 0.821, 0.642)
Au (0.179, 0.179, 0.358)
Ac (0.630, 0.630, 0.260)
Ac (0.370, 0.370, 0.740)
Au (0.500, 0.000, 0.000)
Ca (0.000, 0.000, 0.000)
Au (0.000, 0.500, 0.000)

=====

The most stable of them is entry i.

=====

Entry i
Entry from Alexandria: a relaxed structure of CaAc3Au2 (PBE).

Results
Symmetry: Pmc2_1 (26)

abc: 4.082 9.548 10.887
angles: 90.00 90.00 90.00
Fractional positions:
Au (0.500, 0.772, 0.936)
Ca (0.500, 0.501, 0.561)
Au (0.500, 0.272, 0.064)
Ac (0.000, 0.829, 0.717)
Au (0.000, 0.223, 0.555)
Ac (0.000, 0.497, 0.940)
Ac (0.500, 0.678, 0.228)
Ca (0.500, 0.001, 0.439)
Ac (0.000, 0.329, 0.283)
Au (0.000, 0.723, 0.445)
Ac (0.500, 0.178, 0.772)
Ac (0.000, 0.997, 0.060)

=====

Entry ii
Entry from Alexandria: a relaxed structure of CaAc3Au2 (PBE).

Results
Symmetry: Ibam (72)

abc: 7.489 8.036 9.302
angles: 115.59 113.74 90.00
Fractional positions:
Ac (0.772, 0.022, 0.545)
Ac (0.228, 0.478, 0.455)
Au (0.843, 0.140, 0.279)
Au (0.157, 0.860, 0.721)
Ac (0.500, 0.250, 0.000)
Ac (0.228, 0.978, 0.455)
Au (0.564, 0.360, 0.721)
Ca (0.000, 0.000, 0.000)
Ac (0.500, 0.750, 0.000)
Ac (0.772, 0.522, 0.545)
Ca (0.000, 0.500, 0.000)
Au (0.436, 0.640, 0.279)

=====

The most stable of them is entry i.

=====

Entry i
Entry from Alexandria: a relaxed structure of Ca2AcAu (PBE).

Results
Symmetry: R-3m (166)

abc: 3.939 3.939 11.557
angles: 80.19 80.19 60.00
Fractional positions:
Ac (0.000, 0.000, 0.000)
Ca (0.111, 0.111, 0.667)
Ca (0.889, 0.889, 0.333)
Au (0.500, 0.500, 0.500)

=====

Entry ii
Entry from Alexandria: a relaxed structure of Ca2AcAu (PBE).

Results
Symmetry: P4/mmm (123)

abc: 3.751 3.751 9.472
angles: 90.00 90.00 90.00
Fractional positions:
Ac (0.500, 0.500, 0.500)
Ca (0.000, 0.000, 0.820)
Au (0.500, 0.500, 0.000)
Ca (0.000, 0.000, 0.180)

=====

The most stable of them is entry ii.

=====

Entry i
Entry from Alexandria: a relaxed structure of Ca2AcAu (PBE).

Results
Symmetry: P2_1/m (11)

abc: 4.115 6.707 10.656
angles: 90.00 90.00 107.95
Fractional positions:
Au (0.235, 0.469, 0.250)
Ac (0.922, 0.844, 0.250)
Ca (0.640, 0.280, 0.434)
Ac (0.078, 0.156, 0.750)
Au (0.765, 0.531, 0.750)
Ca (0.640, 0.280, 0.066)
Ca (0.360, 0.720, 0.934)
Ca (0.360, 0.720, 0.566)

=====

Entry ii
Entry from Alexandria: a relaxed structure of Ca2AcAu (PBE).

Results
Symmetry: R3m (160)

abc: 4.008 4.008 10.739
angles: 79.25 79.25 60.00
Fractional positions:
Ac (0.500, 0.500, 0.499)
Au (0.666, 0.666, 0.001)
Ca (0.060, 0.060, 0.820)
Ca (0.273, 0.273, 0.180)

=====

Entry iii
Entry from Alexandria: a relaxed structure of Ca2AcAu (PBE).

Results
Symmetry: Pnma (62)

abc: 6.556 7.768 10.973
angles: 90.00 90.00 90.00
Fractional positions:
Au (0.095, 0.390, 0.250)
Ac (0.139, 0.967, 0.750)
Ac (0.861, 0.033, 0.250)
Ca (0.336, 0.177, 0.064)
Au (0.405, 0.890, 0.250)
Au (0.905, 0.610, 0.750)
Ca (0.836, 0.323, 0.936)
Ac (0.639, 0.533, 0.250)
Ca (0.664, 0.823, 0.936)
Ca (0.164, 0.677, 0.436)
Ca (0.336, 0.177, 0.436)
Au (0.595, 0.110, 0.750)
Ca (0.164, 0.677, 0.064)
Ac (0.361, 0.467, 0.750)
Ca (0.664, 0.823, 0.564)
Ca (0.836, 0.323, 0.564)

=====

The most stable of them is entry iii.

=====

Entry i
Entry from Alexandria: a relaxed structure of CaAc2Au (PBE).

Results
Symmetry: R-3m (166)

abc: 3.917 3.917 12.588
angles: 81.05 81.05 60.00
Fractional positions:
Ac (0.920, 0.920, 0.240)
Au (0.000, 0.000, 0.000)
Ac (0.080, 0.080, 0.760)
Ca (0.500, 0.500, 0.500)

=====

Entry ii
Entry from Alexandria: a relaxed structure of CaAc2Au (PBE).

Results
Symmetry: P4/mmm (123)

abc: 4.239 5.694 5.694
angles: 90.00 90.00 90.00
Fractional positions:
Ac (0.000, 0.500, 0.000)
Ac (0.000, 0.000, 0.500)
Ca (0.500, 0.500, 0.500)
Au (0.500, 0.000, 0.000)

=====

Entry iii
Entry from Alexandria: a relaxed structure of CaAc2Au (PBE).

Results
Symmetry: Cmcm (63)

abc: 4.197 7.112 10.293
angles: 90.00 90.00 107.18
Fractional positions:
Au (0.750, 0.502, 0.750)
Ac (0.362, 0.724, 0.561)
Ac (0.638, 0.276, 0.439)
Au (0.250, 0.498, 0.250)
Ac (0.638, 0.276, 0.061)
Ca (0.924, 0.848, 0.250)
Ac (0.362, 0.724, 0.939)
Ca (0.076, 0.152, 0.750)

=====

Entry iv
Entry from Alexandria: a relaxed structure of CaAc2Au (PBE).

Results
Symmetry: P4/mmm (123)

abc: 3.939 3.939 9.710
angles: 90.00 90.00 90.00
Fractional positions:
Ac (0.000, 0.000, 0.191)
Ca (0.500, 0.500, 0.500)
Ac (0.000, 0.000, 0.809)
Au (0.500, 0.500, 0.000)

=====

The most stable of them is entry iii.

=====

Entry i
Entry from Alexandria: a relaxed structure of CaAcAu3 (PBE).

Results
Symmetry: I-4m2 (119)

abc: 5.426 5.426 12.141
angles: 102.91 102.91 90.00
Fractional positions:
Au (0.322, 0.322, 0.643)
Au (0.626, 0.879, 0.759)
Ca (0.861, 0.361, 0.722)
Ac (0.250, 0.750, 0.500)
Ac (0.000, 0.000, 0.000)
Ca (0.639, 0.139, 0.278)
Au (0.121, 0.374, 0.241)
Au (0.678, 0.678, 0.357)
Au (0.133, 0.879, 0.759)
Au (0.121, 0.867, 0.241)

=====

Entry ii
Entry from Alexandria: a relaxed structure of CaAcAu3 (PBE).

Results
Symmetry: Cmcm (63)

abc: 3.926 4.747 14.268
angles: 90.00 97.91 90.00
Fractional positions:
Au (0.317, 0.750, 0.635)
Au (0.625, 0.750, 0.249)
Au (0.474, 0.250, 0.949)
Au (0.526, 0.750, 0.051)
Ac (0.925, 0.750, 0.850)
Au (0.683, 0.250, 0.365)
Ac (0.075, 0.250, 0.150)
Ca (0.792, 0.250, 0.585)
Ca (0.208, 0.750, 0.415)
Au (0.375, 0.250, 0.751)

=====

The most stable of them is entry ii.